Entry from OQMD via LeMat-Bulk: a relaxed structure of CuP5Pd3 (GGA-PBE).

## Properties
As for the space-group type: P6/mmm, No. 191. The energy is -4.982 eV/atom.

a = 6.5351 Å, b = 6.5351 Å, c = 4.8366 Å
α = 90.00°, β = 90.00°, γ = 120.00°
Fractional coordinates of all 9 atoms:
P 0.3333 0.6667 0.7875
P 0.6667 0.3333 0.2125
P 0.3333 0.6667 0.2125
P 0.6667 0.3333 0.7875
P 0.0000 0.0000 0.5000
Pd 0.0000 0.5000 0.5000
Pd 0.5000 0.5000 0.5000
Pd 0.5000 0.0000 0.5000
Cu 0.0000 0.0000 0.0000

Entry from OQMD via LeMat-Bulk: a relaxed structure of Na2Mg2Ga2NiIr (GGA-PBE).

## Properties
As for the space-group type: P-4m2, No. 115. The energy is -3.350 eV/atom.

a = 4.5416 Å, b = 4.5416 Å, c = 6.3648 Å
α = 90.00°, β = 90.00°, γ = 90.00°
Fractional coordinates of all 8 atoms:
Ir 0.0000 0.0000 0.0000
Ga 0.0000 0.5000 0.2476
Ga 0.5000 0.0000 0.7524
Mg 0.5000 0.0000 0.2521
Mg 0.0000 0.5000 0.7479
Ni 0.5000 0.5000 0.5000
Na 0.0000 0.0000 0.5000
Na 0.5000 0.5000 0.0000

Entry from OQMD via LeMat-Bulk: a relaxed structure of HfTlZn2 (GGA-PBE).

## Properties
As for the space-group type: F-43m, No. 216. The energy is -3.421 eV/atom.

a = 4.7981 Å, b = 4.7981 Å, c = 4.7981 Å
α = 60.00°, β = 60.00°, γ = 60.00°
Fractional coordinates of all 4 atoms:
Tl 0.5000 0.5000 0.5000
Hf 0.2500 0.2500 0.2500
Zn 0.7500 0.7500 0.7500
Zn 0.0000 0.0000 0.0000

Entry from OQMD via LeMat-Bulk: a relaxed structure of SmNiPt (GGA-PBE).

## Properties
As for the space-group type: F-43m, No. 216. The energy is -5.979 eV/atom. The formation energy comes out at -0.534 eV/atom.

a = 4.4251 Å, b = 4.4251 Å, c = 4.4251 Å
α = 60.00°, β = 60.00°, γ = 60.00°
Fractional coordinates of all 3 atoms:
Ni 0.0000 0.0000 0.0000
Sm 0.7500 0.7500 0.7500
Pt 0.2500 0.2500 0.2500

Entry from OQMD via LeMat-Bulk: a relaxed structure of Nd4PtI5 (GGA-PBE).

## Properties
As for the space-group type: C2/m, No. 12. The energy is -4.543 eV/atom.

a = 10.1616 Å, b = 10.1616 Å, c = 9.1913 Å
α = 102.53°, β = 102.53°, γ = 24.20°
Fractional coordinates of all 10 atoms:
I 0.5000 0.5000 0.5000
I 0.1680 0.1680 0.3443
I 0.1747 0.1747 0.8269
I 0.8253 0.8253 0.1731
I 0.8320 0.8320 0.6557
Nd 0.3519 0.3519 0.9228
Nd 0.0003 0.0003 0.2089
Nd 0.9997 0.9997 0.7911
Nd 0.6481 0.6481 0.0772
Pt 0.5000 0.5000 0.0000

Entry from OQMD via LeMat-Bulk: a relaxed structure of ZrCS2 (GGA-PBE).

## Properties
As for the space-group type: P6_3/mmc, No. 194. The energy is -5.965 eV/atom.

a = 3.3371 Å, b = 3.3371 Å, c = 12.4495 Å
α = 90.00°, β = 90.00°, γ = 120.00°
Fractional coordinates of all 8 atoms:
S 0.3333 0.6667 0.1045
S 0.6667 0.3333 0.6045
S 0.3333 0.6667 0.3955
S 0.6667 0.3333 0.8955
Zr 0.6667 0.3333 0.2500
Zr 0.3333 0.6667 0.7500
C 0.0000 0.0000 0.0000
C 0.0000 0.0000 0.5000

Entry from OQMD via LeMat-Bulk: a relaxed structure of Tm5Ag4Pt (GGA-PBE).

## Properties
As for the space-group type: P4/mmm, No. 123. The energy is -4.514 eV/atom. The formation energy comes out at -0.541 eV/atom.

a = 3.5259 Å, b = 3.5259 Å, c = 17.9617 Å
α = 90.00°, β = 90.00°, γ = 90.00°
Fractional coordinates of all 10 atoms:
Tm 0.5000 0.5000 0.0913
Tm 0.5000 0.5000 0.5000
Tm 0.5000 0.5000 0.9087
Tm 0.5000 0.5000 0.7039
Tm 0.5000 0.5000 0.2961
Ag 0.0000 0.0000 0.3982
Ag 0.0000 0.0000 0.6018
Ag 0.0000 0.0000 0.8036
Ag 0.0000 0.0000 0.1964
Pt 0.0000 0.0000 0.0000

Entry from OQMD via LeMat-Bulk: a relaxed structure of LaReB4 (GGA-PBE).

## Properties
The calculation puts the excess energy over the best structure of this formula in the dataset at 0.240 eV/atom. As for the space-group type: Immm, No. 71. The energy is -7.237 eV/atom.

a = 4.9441 Å, b = 4.9441 Å, c = 4.9441 Å
α = 142.63°, β = 112.34°, γ = 79.94°
Fractional coordinates of all 6 atoms:
B 0.4184 0.7577 0.6607
B 0.9031 0.2423 0.6607
B 0.5816 0.2423 0.3393
B 0.0969 0.7577 0.3393
Re 0.5000 0.5000 0.0000
La 0.0000 0.0000 0.0000

Copy entry 6 word for word.
Entry from OQMD via LeMat-Bulk: a relaxed structure of ZrCS2 (GGA-PBE).

## Properties
As for the space-group type: P6_3/mmc, No. 194. The energy is -5.965 eV/atom.

a = 3.3371 Å, b = 3.3371 Å, c = 12.4495 Å
α = 90.00°, β = 90.00°, γ = 120.00°
Fractional coordinates of all 8 atoms:
S 0.3333 0.6667 0.1045
S 0.6667 0.3333 0.6045
S 0.3333 0.6667 0.3955
S 0.6667 0.3333 0.8955
Zr 0.6667 0.3333 0.2500
Zr 0.3333 0.6667 0.7500
C 0.0000 0.0000 0.0000
C 0.0000 0.0000 0.5000

Repeat the eighth record exactly.
Entry from OQMD via LeMat-Bulk: a relaxed structure of LaReB4 (GGA-PBE).

## Properties
The calculation puts the excess energy over the best structure of this formula in the dataset at 0.240 eV/atom. As for the space-group type: Immm, No. 71. The energy is -7.237 eV/atom.

a = 4.9441 Å, b = 4.9441 Å, c = 4.9441 Å
α = 142.63°, β = 112.34°, γ = 79.94°
Fractional coordinates of all 6 atoms:
B 0.4184 0.7577 0.6607
B 0.9031 0.2423 0.6607
B 0.5816 0.2423 0.3393
B 0.0969 0.7577 0.3393
Re 0.5000 0.5000 0.0000
La 0.0000 0.0000 0.0000

Repeat the second record exactly.
Entry from OQMD via LeMat-Bulk: a relaxed structure of Na2Mg2Ga2NiIr (GGA-PBE).

## Properties
As for the space-group type: P-4m2, No. 115. The energy is -3.350 eV/atom.

a = 4.5416 Å, b = 4.5416 Å, c = 6.3648 Å
α = 90.00°, β = 90.00°, γ = 90.00°
Fractional coordinates of all 8 atoms:
Ir 0.0000 0.0000 0.0000
Ga 0.0000 0.5000 0.2476
Ga 0.5000 0.0000 0.7524
Mg 0.5000 0.0000 0.2521
Mg 0.0000 0.5000 0.7479
Ni 0.5000 0.5000 0.5000
Na 0.0000 0.0000 0.5000
Na 0.5000 0.5000 0.0000

energy of number 7 (Tm5Ag4Pt)?
-4.514 eV/atom